1:
The following is a PBE-GGA calculation of BiTe2PtI after structural relaxation, from Alexandria via LeMat-Bulk.

The value obtained for the calculated volume is 41.85 Å³/atom. The size of the total moment comes out at 0.308 μB/atom.

Unit cell a=5.9647 b=5.9647 c=5.8817 alpha=90.00 beta=90.00 gamma=90.00
Last column: nearest neighbours and their distance in Å.
Space group P4/mmm (No. 123)
Inequivalent atoms, fractional coordinates:
Bi1 0.0000 0.0000 0.0000 (multiplicity 1)  2 I 2.94, 4 Te 2.98
Te1 0.0000 0.5000 0.0000 (multiplicity 2)  2 Bi 2.98
Pt1 0.5000 0.5000 0.5000 (multiplicity 1)  8 Te 4.19, 4 I 4.22
I1 0.0000 0.0000 0.5000 (multiplicity 1)  2 Bi 2.94

---

2:
The following is a PBE-GGA calculation of BiTe2PtI after structural relaxation, from Alexandria via LeMat-Bulk.

The value obtained for the calculated volume is 30.98 Å³/atom. The size of the total moment comes out at 0.000 μB/atom.

Unit cell a=5.3489 b=5.3489 c=5.4135 alpha=90.00 beta=90.00 gamma=90.00
Last column: nearest neighbours and their distance in Å.
Space group P4/mmm (No. 123)
Inequivalent atoms, fractional coordinates:
Bi1 0.0000 0.0000 0.0000 (multiplicity 1)  4 I 3.78, 8 Te 3.81
Te1 0.0000 0.5000 0.5000 (multiplicity 2)  2 Pt 2.67
Pt1 0.5000 0.5000 0.5000 (multiplicity 1)  4 Te 2.67, 2 I 2.71
I1 0.5000 0.5000 0.0000 (multiplicity 1)  2 Pt 2.71

---

Energy ordering: 2 at the bottom, the next structure 919 meV/atom above.

---

1:
The following is a PBE-GGA calculation of PuBiI after structural relaxation, from Alexandria via LeMat-Bulk.

The value obtained for the calculated volume is 34.80 Å³/atom. The size of the total moment comes out at 1.839 μB/atom.

Unit cell a=3.6530 b=3.6530 c=15.6488 alpha=90.00 beta=90.00 gamma=90.00
Last column: nearest neighbours and their distance in Å.
Space group I4mm (No. 107)
Inequivalent atoms, fractional coordinates:
Pu1 0.0000 0.0000 0.0000 (multiplicity 2)  4 I 3.24, 4 Bi 3.44
Bi1 0.0000 0.0000 0.3548 (multiplicity 2)  4 Pu 3.44, 4 Bi 3.65
I1 0.0000 0.0000 0.6252 (multiplicity 2)  4 Pu 3.24

---

2:
The following is a PBE-GGA calculation of PuBiI after structural relaxation, from Alexandria via LeMat-Bulk.

The value obtained for the calculated volume is 34.87 Å³/atom. The size of the total moment comes out at 1.843 μB/atom.

Unit cell a=3.7729 b=7.0038 c=15.8345 alpha=90.00 beta=90.00 gamma=90.00
Last column: nearest neighbours and their distance in Å.
Space group Immm (No. 71)
Inequivalent atoms, fractional coordinates:
Pu1 0.0000 0.0000 0.1208 (multiplicity 4)  2 Bi 3.22, 4 I 3.23
Bi1 0.0000 0.5000 0.2144 (multiplicity 4)  2 Pu 3.22
I1 0.0000 0.2452 0.5000 (multiplicity 4)  4 Pu 3.23, 2 I 3.43-3.57

---

3:
The following is a PBE-GGA calculation of PuBiI after structural relaxation, from Alexandria via LeMat-Bulk.

The value obtained for the calculated volume is 31.51 Å³/atom. The size of the total moment comes out at 1.748 μB/atom.

Unit cell a=5.4062 b=5.4062 c=3.7344 alpha=90.00 beta=90.00 gamma=120.00
Last column: nearest neighbours and their distance in Å.
Space group P-6m2 (No. 187)
Inequivalent atoms, fractional coordinates:
Pu1 0.0000 0.0000 0.0000 (multiplicity 1)  3 I 3.12
Bi1 0.6667 0.3333 0.5000 (multiplicity 1)  6 Pu 3.64, 6 I 3.64, 2 Bi 3.73
I1 0.3333 0.6667 0.0000 (multiplicity 1)  3 Pu 3.12

---

Energy ordering: 1 at the bottom, the next structure 112 meV/atom above.